# GGA+U BaCrIO2, relaxed
# **Polymorph energy (0 for the lowest one)**: 0 meV per atom
# **Spin magnetization**: 0.600 μB/atom
# **Fermi-level density of states**: 0.1 states/eV/cell
data_BaCrIO2
_chemical_formula_sum 'Ba4 Cr4 I4 O8'
_cell_length_a 6.164
_cell_length_b 14.548
_cell_length_c 5.657
_cell_angle_alpha 90.00
_cell_angle_beta 90.00
_cell_angle_gamma 90.00
_symmetry_space_group_name_H-M 'C m c m'
_symmetry_Int_Tables_number 63
_symmetry_space_group_name_Hall '-C 2c 2'
loop_
_atom_site_label
_atom_site_type_symbol
_atom_site_fract_x
_atom_site_fract_y
_atom_site_fract_z
_atom_site_occupancy
Ba1 Ba 0.000 0.109 0.250 1
Cr1 Cr 0.000 0.493 0.250 1
I1 I 0.000 0.263 0.750 1
O1 O 0.214 0.500 0.000 1